Here is a relaxed CaErPtO4 crystal from Alexandria. Energies are from PBE.

Properties
Formation energy from raw total energies, eV per atom: -2.16

a b c (Å): 6.551 6.830 9.287
angles (deg): 90.00 90.00 90.00
Space group Imma (No. 74)
Unique sites:
Ca  0.000  0.250  0.143 [4 per cell]
Er  0.000  0.000  0.500 [4 per cell]
Pt  0.250  0.250  0.750 [4 per cell]
O  0.000  0.058  0.745 [8 per cell]
O  0.216  0.250  0.477 [8 per cell]

***

Here is a relaxed AlCo2Si crystal from Alexandria. Energies are from PBE.

Properties
Formation energy from raw total energies, eV per atom: -0.57

a b c (Å): 5.620 5.620 5.620
angles (deg): 90.00 90.00 90.00
Space group Fm-3m (No. 225)
Unique sites:
Al  0.000  0.000  0.000 [4 per cell]
Co  0.250  0.250  0.250 [8 per cell]
Si  0.000  0.000  0.500 [4 per cell]

***

Here is a relaxed MgHPb2 crystal from Alexandria. Energies are from PBE.

Properties
Excess energy over the best structure of this formula in the dataset, meV per atom: 39

a b c (Å): 7.116 7.116 7.116
angles (deg): 90.00 90.00 90.00
Space group Fm-3m (No. 225)
Unique sites:
Mg  0.000  0.000  0.000 [4 per cell]
H  0.000  0.000  0.500 [4 per cell]
Pb  0.250  0.250  0.250 [8 per cell]

***

Here is a relaxed Pm12Np3Ge5 crystal from Alexandria. Energies are from PBE.

Properties
Calculated formation energy, eV per formula unit: 7.0

a b c (Å): 17.792 17.792 17.792
angles (deg): 90.00 90.00 90.00
Space group Ia-3d (No. 230)
Unique sites:
Pm  0.029  0.071  0.646 [96 per cell]
Np  0.000  0.250  0.125 [24 per cell]
Ge  0.000  0.000  0.000 [16 per cell]
Ge  0.000  0.250  0.375 [24 per cell]

***

Here is a relaxed Ba2Li4SnAs3 crystal from Alexandria. Energies are from PBE.

Properties
Calculated formation energy, eV per formula unit: -7.8

a b c (Å): 4.492 4.492 11.502
angles (deg): 90.00 90.00 90.00
Space group P-4m2 (No. 115)
Unique sites:
Ba  0.000  0.500  0.229 [2 per cell]
Li  0.000  0.000  0.000 [1 per cell]
Li  0.000  0.500  0.648 [2 per cell]
Li  0.500  0.500  0.000 [1 per cell]
Sn  0.000  0.000  0.500 [1 per cell]
As  0.000  0.500  0.872 [2 per cell]
As  0.500  0.500  0.500 [1 per cell]

***

Here is a relaxed Sc4PdRu crystal from Alexandria. Energies are from PBE.

Properties
Calculated formation energy, eV per formula unit: -3.0

a b c (Å): 3.237 3.237 11.657
angles (deg): 90.00 90.00 90.00
Space group P4/mmm (No. 123)
Unique sites:
Sc  0.000  0.000  0.132 [2 per cell]
Sc  0.500  0.500  0.356 [2 per cell]
Pd  0.000  0.000  0.500 [1 per cell]
Ru  0.500  0.500  0.000 [1 per cell]

***

Here is a relaxed Er5Tm8Pu crystal from Alexandria. Energies are from PBE.

Properties
Calculated formation energy, eV per formula unit: 4.3

a b c (Å): 9.770 9.770 9.067
angles (deg): 90.00 90.00 90.00
Space group I-4 (No. 82)
Unique sites:
Er  0.000  0.000  0.000 [2 per cell]
Er  0.079  0.838  0.626 [8 per cell]
Tm  0.034  0.661  0.941 [8 per cell]
Tm  0.149  0.758  0.290 [8 per cell]
Pu  0.000  0.500  0.250 [2 per cell]

***

Here is a relaxed IrPb crystal from Alexandria. Energies are from PBE.

Properties
Calculated formation energy, eV per formula unit: 1.2

a b c (Å): 5.520 5.520 5.581
angles (deg): 90.00 90.00 90.00
Space group P4_2/mnm (No. 136)
Unique sites:
Ir  0.202  0.202  0.000 [4 per cell]
Pb  0.209  0.209  0.500 [4 per cell]

***

| no. | energy (eV per atom) |
| --- | --- |
| 1 | -6.789 |
| 2 | -6.415 |
| 3 | -2.687 |
| 4 | -5.594 |
| 5 | -3.726 |
| 6 | -7.134 |
| 7 | -4.904 |
| 8 | -5.661 |